The following is a DFT calculation (PBE-GGA) of Li6ZnAg8 after structural relaxation.

Cell lengths 7.4724, 7.4724, 16.2745 Å; angles 90.00, 90.00, 120.00 degrees
Space group R-3 (No. 148, hexagonal axes)
Asymmetric unit:
Li: 0.9995 0.3316 0.2777
Zn: 0.0000 0.0000 0.0000
Ag: 0.0000 0.0000 0.3355
Ag: 0.0000 0.3316 0.1133

Computed properties:
D(E_F): 0.3372 states/eV/atom
ΔH_f (0 K): -0.022 eV per atom

The following is a DFT calculation (PBE-GGA) of IrRhW after structural relaxation.

Cell lengths 4.8169, 4.3904, 4.8297 Å; angles 90.00, 119.53, 90.00 degrees
Space group P2_1/m (No. 11)
Asymmetric unit:
Ir: 0.1679 0.2500 0.0037
Rh: 0.4933 0.7500 0.3350
W: 0.1720 0.7500 0.6767

Computed properties:
D(E_F): 0.6477 states/eV/atom
ΔH_f (0 K): -0.269 eV per atom

The following is a DFT calculation (PBE-GGA) of Mg2RhAu after structural relaxation.

Cell lengths 3.9141, 3.9141, 8.7135 Å; angles 90.00, 90.00, 90.00 degrees
Space group I-4m2 (No. 119)
Asymmetric unit:
Mg: 0.0000 0.0000 0.0000
Mg: 0.0000 0.5000 0.2500
Rh: 0.0000 0.5000 0.7500
Au: 0.0000 0.0000 0.5000

Computed properties:
D(E_F): 0.3600 states/eV/atom
ΔH_f (0 K): -0.463 eV per atom

The following is a DFT calculation (PBE-GGA) of NdZn2Co2Ge after structural relaxation.

Cell lengths 4.3586, 4.3586, 5.7167 Å; angles 90.00, 90.00, 90.00 degrees
Space group P4/mmm (No. 123)
Asymmetric unit:
Nd: 0.0000 0.0000 0.0000
Zn: 0.5000 0.5000 0.2433
Co: 0.0000 0.5000 0.5000
Ge: 0.0000 0.0000 0.5000

Computed properties:
D(E_F): 0.5289 states/eV/atom
ΔH_f (0 K): -0.082 eV per atom

The following is a DFT calculation (PBE-GGA) of HfReBRu2 after structural relaxation.

Cell lengths 4.1357, 4.1357, 4.1744 Å; angles 90.00, 90.00, 90.00 degrees
Space group P4/mmm (No. 123)
Asymmetric unit:
Hf: 0.0000 0.0000 0.0000
Re: 0.5000 0.5000 0.0000
B: 0.5000 0.5000 0.5000
Ru: 0.0000 0.5000 0.5000

Computed properties:
D(E_F): 1.2718 states/eV/atom
ΔH_f (0 K): -0.321 eV per atom

The following is a DFT calculation (PBE-GGA) of Tb2Sm4Sc3 after structural relaxation.

Cell lengths 10.9717, 4.9725, 10.4252 Å; angles 90.00, 108.09, 90.00 degrees
Space group C2/m (No. 12)
Asymmetric unit:
Tb: 0.1692 0.0000 0.2275
Sm: 0.0044 0.5000 0.3360
Sm: 0.1661 0.0000 0.8871
Sc: 0.0000 0.5000 0.0000
Sc: 0.1644 0.0000 0.5519

Computed properties:
D(E_F): 1.4528 states/eV/atom
ΔH_f (0 K): 0.048 eV per atom

The following is a DFT calculation (PBE-GGA) of CsSnF3 after structural relaxation.

Cell lengths 4.8611, 6.6146, 7.3823 Å; angles 94.17, 97.34, 90.34 degrees
Space group P1 (No. 1)
Asymmetric unit:
Cs: 0.0000 0.0000 0.0000
Cs: 0.0592 0.5260 0.4397
Sn: 0.4794 0.4999 0.9602
Sn: 0.5752 0.0242 0.4720
F: 0.1356 0.0513 0.4304
F: 0.4341 0.7549 0.8046
F: 0.4862 0.7089 0.1964
F: 0.5737 0.1917 0.2416
F: 0.6045 0.3097 0.6254
F: 0.9172 0.5418 0.0037

Computed properties:
D(E_F): 0.0000 states/eV/atom
E_form (uncorrected): -2.5235 eV per atom

Which of these has the highest D(E_F)?
Tb2Sm4Sc3